No. 1
EuErMgZn (PBE, relaxed); DFT formation energy = -45 kJ/mol of formula units; spin magnetization = 1.81 μB per atom
1.0
5.2953 0.0000 0.0000
2.6476 4.5859 0.0000
2.6476 1.5286 4.3236
Er Mg Zn Eu
1 1 1 1
Direct
0.2500 0.2500 0.2500
0.5000 0.5000 0.5000
0.0000 0.0000 0.0000
0.7500 0.7500 0.7500

---

No. 2
NbRh (PBE, relaxed); DFT formation energy = 74 kJ/mol of formula units; spin magnetization = 0.00 μB per atom
1.0
4.4107 0.0000 0.0000
-2.2053 3.8198 0.0000
0.0000 0.0000 5.1227
Nb Rh
2 2
Direct
0.6667 0.3333 0.7500
0.3333 0.6667 0.2500
0.3333 0.6667 0.7500
0.6667 0.3333 0.2500

---

No. 3
Nb2BiIr2 (PBE, relaxed); DFT formation energy = -97 kJ/mol of formula units; E above lowest polymorph = 0.00 eV/f.u.; spin magnetization = 0.00 μB per atom
1.0
7.9826 0.0000 0.0000
0.0000 7.9826 0.0000
0.0000 0.0000 2.9467
Bi Ir Nb
2 4 4
Direct
0.0000 0.0000 0.0000
0.5000 0.5000 0.0000
0.8664 0.6336 0.0000
0.6336 0.1336 0.0000
0.3664 0.8664 0.0000
0.1336 0.3664 0.0000
0.3460 0.1540 0.5000
0.1540 0.6540 0.5000
0.8460 0.3460 0.5000
0.6540 0.8460 0.5000